Entry 1:
# PBE KCoAu3, optimized geometry
# E above lowest polymorph in eV per atom: 1.4643
# Fermi-level density of states in states/eV/cell: 5.43
# Magnetization in μB/f.u.: 2.61
data_KCoAu3
_chemical_formula_sum 'K1 Co1 Au3'
_cell_length_a 5.5051
_cell_length_b 5.5051
_cell_length_c 5.5051
_cell_angle_alpha 90.00
_cell_angle_beta 90.00
_cell_angle_gamma 90.00
_symmetry_space_group_name_H-M 'P m -3 m'
_symmetry_Int_Tables_number 221
_symmetry_space_group_name_Hall '-P 4 2 3'
loop_
_atom_site_label
_atom_site_fract_x
_atom_site_fract_y
_atom_site_fract_z
K1 0.0000 0.0000 0.0000
Co1 0.5000 0.5000 0.5000
Au1 0.0000 0.0000 0.5000

Entry 2:
# PBE KCoAu4, optimized geometry
# Electronic total energy in eV per formula unit: -19.7
# Fermi-level density of states in states/eV/cell: 29.12
# Magnetization in μB/f.u.: 2.09
data_KCoAu4
_chemical_formula_sum 'K4 Co4 Au16'
_cell_length_a 7.9251
_cell_length_b 7.9251
_cell_length_c 7.9251
_cell_angle_alpha 90.00
_cell_angle_beta 90.00
_cell_angle_gamma 90.00
_symmetry_space_group_name_H-M 'F -4 3 m'
_symmetry_Int_Tables_number 216
_symmetry_space_group_name_Hall 'F -4 2 3'
loop_
_atom_site_label
_atom_site_fract_x
_atom_site_fract_y
_atom_site_fract_z
K1 0.0000 0.0000 0.0000
Co1 0.2500 0.2500 0.2500
Au1 0.1246 0.1246 0.6246

Entry 3:
# PBE KCo2Au, optimized geometry
# E above lowest polymorph in eV per atom: 0.5127
# Fermi-level density of states in states/eV/cell: 4.16
# Magnetization in μB/f.u.: 3.50
data_KCo2Au
_chemical_formula_sum 'K1 Co2 Au1'
_cell_length_a 2.7050
_cell_length_b 5.1431
_cell_length_c 5.2060
_cell_angle_alpha 90.00
_cell_angle_beta 90.00
_cell_angle_gamma 90.00
_symmetry_space_group_name_H-M 'P m m m'
_symmetry_Int_Tables_number 47
loop_
_symmetry_equiv_pos_as_xyz
'x,y,z'
'-x,-y,-z'
'-x,-y,z'
'x,y,-z'
'x,-y,-z'
'-x,y,z'
'-x,y,-z'
'x,-y,z'
loop_
_atom_site_label
_atom_site_fract_x
_atom_site_fract_y
_atom_site_fract_z
K1 0.0000 0.0000 0.0000
Co1 0.0000 0.5000 0.5000
Co2 0.5000 0.0000 0.5000
Au1 0.5000 0.5000 0.0000

Entry 4:
# PBE KCo2NiAu, optimized geometry
# Electronic total energy in eV per formula unit: -13.5
# Fermi-level density of states in states/eV/cell: 7.49
# Magnetization in μB/f.u.: 3.20
data_KCo2NiAu
_chemical_formula_sum 'K1 Co2 Ni1 Au1'
_cell_length_a 4.4341
_cell_length_b 4.4341
_cell_length_c 4.4566
_cell_angle_alpha 90.00
_cell_angle_beta 90.00
_cell_angle_gamma 90.00
_symmetry_space_group_name_H-M 'P 4/m m m'
_symmetry_Int_Tables_number 123
_symmetry_space_group_name_Hall '-P 4 2'
loop_
_atom_site_label
_atom_site_fract_x
_atom_site_fract_y
_atom_site_fract_z
K1 0.0000 0.0000 0.0000
Co1 0.0000 0.5000 0.0000
Ni1 0.0000 0.0000 0.5000
Au1 0.5000 0.5000 0.5000